Record 1
Computed, not measured: a relaxed structure of NaAcLaTm at the PBE level of DFT.

Calculated total energy in eV per cell: -55.78
Formation enthalpy at 0 K in kcal/mol of atoms: 5.1

Cell lengths 8.3638, 8.3638, 8.3638 Å; angles 90.00, 90.00, 90.00 degrees
With the nearest neighbours (Å) after each atom.
Space group F-43m (No. 216)
Symmetry-distinct sites (fractional):
Na1 0.0000 0.0000 0.0000 (multiplicity 4)  4 Ac 3.62, 4 La 3.62
Ac1 0.2500 0.2500 0.2500 (multiplicity 4)  4 Na 3.62, 4 Tm 3.62
La1 0.2500 0.2500 0.7500 (multiplicity 4)  4 Na 3.62, 4 Tm 3.62
Tm1 0.0000 0.0000 0.5000 (multiplicity 4)  4 Ac 3.62, 4 La 3.62

Record 2
Computed, not measured: a relaxed structure of NaAcLaZn at the PBE level of DFT.

Calculated total energy in eV per cell: -45.76
Formation enthalpy at 0 K in kcal/mol of atoms: 1.1

Cell lengths 7.9733, 7.9733, 7.9733 Å; angles 90.00, 90.00, 90.00 degrees
With the nearest neighbours (Å) after each atom.
Space group F-43m (No. 216)
Symmetry-distinct sites (fractional):
Na1 0.0000 0.0000 0.0000 (multiplicity 4)  4 Ac 3.45, 4 La 3.45
Ac1 0.2500 0.2500 0.2500 (multiplicity 4)  4 Na 3.45, 4 Zn 3.45
La1 0.2500 0.2500 0.7500 (multiplicity 4)  4 Na 3.45, 4 Zn 3.45
Zn1 0.0000 0.0000 0.5000 (multiplicity 4)  4 Ac 3.45, 4 La 3.45

Record 3
Computed, not measured: a relaxed structure of Ac2LaNb at the PBE level of DFT.

Calculated total energy in eV per cell: -60.24
Formation enthalpy at 0 K in kcal/mol of atoms: 18.1

Cell lengths 3.5518, 3.5518, 37.6963 Å; angles 90.00, 90.00, 120.00 degrees
With the nearest neighbours (Å) after each atom.
Space group R-3m (No. 166, hexagonal axes)
Symmetry-distinct sites (fractional):
Ac1 0.0000 0.0000 0.0799 (multiplicity 6)  1 Nb 3.01
La1 0.0000 0.0000 0.5000 (multiplicity 3)  6 La 3.55, 6 Ac 3.86
Nb1 0.0000 0.0000 0.0000 (multiplicity 3)  2 Ac 3.01

Record 4
Computed, not measured: a relaxed structure of Ac4La3Nd2 at the PBE level of DFT.

Calculated total energy in eV per cell: -80.24
Formation enthalpy at 0 K in kcal/mol of atoms: 1.6

Cell lengths 13.7742, 3.8936, 14.9947 Å; angles 90.00, 114.25, 90.00 degrees
With the nearest neighbours (Å) after each atom.
Space group C2/m (No. 12)
Symmetry-distinct sites (fractional):
Ac1 0.2228 0.0000 0.1105 (multiplicity 4)  5 La 3.69-3.95, 2 Nd 3.76, 2 Ac 3.89
Ac2 0.2237 0.5000 0.3719 (multiplicity 4)  3 Nd 3.83-3.93, 4 La 3.89-4.25, 4 Ac 3.89-4.10
La1 0.0000 0.5000 0.5000 (multiplicity 2)  4 Nd 3.53, 2 La 3.89
La2 0.0051 0.5000 0.8894 (multiplicity 4)  1 La 3.38, 2 Nd 3.56, 3 Ac 3.69-3.75
Nd1 0.0467 0.0000 0.7097 (multiplicity 4)  4 La 3.53-3.56, 5 Ac 3.76-3.93, 2 Nd 3.89

Record 5
Computed, not measured: a relaxed structure of AcLa3Nd at the PBE level of DFT.

Calculated total energy in eV per cell: -90.51
Formation enthalpy at 0 K in kcal/mol of atoms: 4.8
E above lowest polymorph in meV/atom: 95

Cell lengths 6.2063, 9.5536, 13.3627 Å; angles 90.00, 90.00, 90.00 degrees
With the nearest neighbours (Å) after each atom.
Space group Cmcm (No. 63)
Symmetry-distinct sites (fractional):
Ac1 0.0000 0.0000 0.0000 (multiplicity 4)  6 La 3.38-3.69
La1 0.0000 0.0545 0.2500 (multiplicity 4)  3 Nd 3.28-3.44, 2 Ac 3.38, 2 La 3.50
La2 0.0000 0.3690 0.1162 (multiplicity 8)  2 La 3.50-3.58, 3 Ac 3.69-3.85, 3 Nd 3.73-3.89
Nd1 0.0000 0.2889 0.7500 (multiplicity 4)  3 La 3.28-3.44

Record 6
Computed, not measured: a relaxed structure of Ac5La2Nd2 at the PBE level of DFT.

Calculated total energy in eV per cell: -39.65
Formation enthalpy at 0 K in kcal/mol of atoms: 0.7
E above lowest polymorph in meV/atom: 0

Cell lengths 5.4735, 6.7190, 11.5933 Å; angles 73.54, 76.41, 65.97 degrees
With the nearest neighbours (Å) after each atom.
Space group P-1 (No. 2)
Symmetry-distinct sites (fractional):
Ac1 0.0000 0.0000 0.0000 (multiplicity 1)  6 Ac 3.87-3.91, 2 La 3.87, 4 Nd 3.89
Ac2 0.3340 0.7780 0.5544 (multiplicity 2)  3 Nd 3.85, 4 Ac 3.86-3.87, 5 La 3.86-3.88
Ac3 0.3359 0.4416 0.8860 (multiplicity 2)  2 La 3.83-3.84, 6 Ac 3.87-3.92, 4 Nd 3.87-3.92
La1 0.9998 0.3339 0.6672 (multiplicity 2)  8 Ac 3.83-3.88, 3 Nd 3.83-3.89, 1 La 3.89
Nd1 0.3306 0.1138 0.2249 (multiplicity 2)  3 La 3.83-3.89, 9 Ac 3.85-3.92

Record 7
Computed, not measured: a relaxed structure of Ac4La6Nd at the PBE level of DFT.

Calculated total energy in eV per cell: -96.92
Formation enthalpy at 0 K in kcal/mol of atoms: 4.8

Cell lengths 7.2064, 7.2064, 16.9618 Å; angles 90.00, 90.00, 90.00 degrees
With the nearest neighbours (Å) after each atom.
Space group I-42m (No. 121)
Symmetry-distinct sites (fractional):
Ac1 0.1879 0.1879 0.3167 (multiplicity 8)  3 La 3.62-3.82, 1 Nd 3.65, 1 Ac 3.83
La1 0.0000 0.5000 0.0000 (multiplicity 4)  4 La 3.23, 2 Nd 3.60
La2 0.1610 0.1610 0.1041 (multiplicity 8)  3 La 3.23-3.28, 1 Ac 3.62
Nd1 0.0000 0.0000 0.5000 (multiplicity 2)  8 La 3.60-3.88, 4 Ac 3.65

Record 8
Computed, not measured: a relaxed structure of Ac3La8Nd2 at the PBE level of DFT.

Calculated total energy in eV per cell: -119.44
Formation enthalpy at 0 K in kcal/mol of atoms: 2.8
E above lowest polymorph in meV/atom: 0

Cell lengths 14.3441, 12.0317, 6.2880 Å; angles 90.00, 111.61, 90.00 degrees
With the nearest neighbours (Å) after each atom.
Space group C2/m (No. 12)
Symmetry-distinct sites (fractional):
Ac1 0.0000 0.0000 0.0000 (multiplicity 2)  6 La 3.49-3.82
Ac2 0.0000 0.2473 0.5000 (multiplicity 4)  8 La 3.75-4.14, 2 Nd 4.13
La1 0.0718 0.5000 0.2470 (multiplicity 4)  1 La 3.03
La2 0.1676 0.0000 0.5672 (multiplicity 4)  1 Nd 3.47, 5 La 3.48-3.84, 3 Ac 3.49-3.75
La3 0.1846 0.2417 0.1847 (multiplicity 8)  2 Nd 3.48-3.76, 5 La 3.49-3.84, 2 Ac 3.82-3.85
Nd1 0.1893 0.5000 0.8518 (multiplicity 4)  8 La 3.47-3.76

Record 9
Computed, not measured: a relaxed structure of AcLa3Nd5 at the PBE level of DFT.

Calculated total energy in eV per cell: -160.45
Formation enthalpy at 0 K in kcal/mol of atoms: 6.7
E above lowest polymorph in meV/atom: 150

Cell lengths 11.5856, 8.4045, 14.4696 Å; angles 90.00, 95.03, 90.00 degrees
With the nearest neighbours (Å) after each atom.
Space group C2/m (No. 12)
Symmetry-distinct sites (fractional):
Ac1 0.0367 0.0000 0.2503 (multiplicity 4)  5 Nd 3.40-3.80, 3 La 3.54-3.67
La1 0.0000 0.0000 0.0000 (multiplicity 2)  2 Nd 2.72
La2 0.0000 0.0000 0.5000 (multiplicity 2)  2 Ac 3.67, 4 Nd 3.82
La3 0.1401 0.5000 0.5012 (multiplicity 4)  1 La 3.24, 4 Nd 3.45-3.55
La4 0.2327 0.0000 0.8854 (multiplicity 4)  1 La 3.29, 3 Nd 3.33-3.63, 1 Ac 3.54
Nd1 0.0000 0.3234 0.0000 (multiplicity 4)  1 La 2.72, 1 Nd 2.97
Nd2 0.0129 0.5000 0.2562 (multiplicity 4)  3 Nd 3.38-3.68, 2 La 3.72-3.73
Nd3 0.2200 0.2173 0.6675 (multiplicity 8)  4 La 3.45-3.82, 3 Nd 3.65-3.83, 2 Ac 3.77-3.80
Nd4 0.2364 0.5000 0.8835 (multiplicity 4)  2 La 3.33-3.36, 3 Nd 3.38-3.65, 1 Ac 3.40

Record 10
Computed, not measured: a relaxed structure of Ac4LaNd5 at the PBE level of DFT.

Calculated total energy in eV per cell: -44.91
Formation enthalpy at 0 K in kcal/mol of atoms: 0.7
E above lowest polymorph in meV/atom: 0

Cell lengths 3.8703, 3.8703, 26.1898 Å; angles 90.00, 90.00, 90.00 degrees
With the nearest neighbours (Å) after each atom.
Space group P4/mmm (No. 123)
Symmetry-distinct sites (fractional):
Ac1 0.0000 0.0000 0.1009 (multiplicity 2)  8 Nd 3.80-3.81, 4 Ac 3.87
Ac2 0.0000 0.0000 0.3033 (multiplicity 2)  8 Nd 3.81-3.82, 4 Ac 3.87
La1 0.0000 0.0000 0.5000 (multiplicity 1)  8 Nd 3.70, 4 La 3.87
Nd1 0.5000 0.5000 0.0000 (multiplicity 1)  8 Ac 3.80, 4 Nd 3.87
Nd2 0.5000 0.5000 0.2020 (multiplicity 2)  8 Ac 3.81, 4 Nd 3.87
Nd3 0.5000 0.5000 0.4049 (multiplicity 2)  4 La 3.70, 4 Ac 3.82, 4 Nd 3.87